Compound: PuNiO5
Source: Alexandria
Functional: PBE with a Hubbard U
Structure: relaxed

Output
**Final energy**: -51.8 eV per formula unit
**Calculated volume**: 15.10 A^3/atom
**DOS at the Fermi energy**: 0.604 states/eV per atom
**Size of the total moment**: 1.89 μB/f.u.

Unit cell a=6.051 b=9.777 c=7.745 alpha=90.00 beta=112.68 gamma=90.00
Space group C2/c (No. 15)
Inequivalent atoms, fractional coordinates:
Pu 0.000 0.000 0.000 (multiplicity 4)
Ni 0.000 0.435 0.250 (multiplicity 4)
O 0.000 0.085 0.250 (multiplicity 4)
O 0.182 0.150 0.648 (multiplicity 8)
O 0.185 0.428 0.943 (multiplicity 8)